# Au2SN

A relaxed structure of Au2SN (PBE-GGA, Alexandria via LeMat-Bulk).

Computed properties:
magnetization: 4.995 Bohr magnetons per cell
raw total energy: -3.344 eV/atom
V: 15.09 Å³/atom
raw formation energy: 1.408 eV per atom
offset from the most stable computed form: 0.883 eV per atom
density of states at the Fermi level: 0.570 states/eV/atom

Structure (CIF):
```
data_Au2SN
_chemical_formula_sum 'Au8 S4 N4'
_space_group_name_H-M_alt 'F m -3 m'
_space_group_IT_number 225
_space_group_name_Hall '-F 4 2 3'
_cell_length_a 6.226
_cell_length_b 6.226
_cell_length_c 6.226
_cell_angle_alpha 90.00
_cell_angle_beta 90.00
_cell_angle_gamma 90.00
loop_
_atom_site_label
_atom_site_fract_x
_atom_site_fract_y
_atom_site_fract_z
_atom_site_occupancy
Au1 0.250 0.250 0.250 1
S1 0.000 0.000 0.000 1
N1 0.000 0.000 0.500 1
```